(1)
Compound: Tb3Pm3Tm
Source: the Alexandria database
Functional: PBE-GGA
Structure: relaxed

Unit cell a=6.2277 b=6.2277 c=14.7839 alpha=77.84 beta=77.84 gamma=60.00
Last column: nearest neighbours and their distance in Å.
Atoms (fractional coordinates):
Pm  0.1998  0.8687  0.3942  3 Tb 3.55-3.56, 9 Pm 3.57-3.68
Pm  0.1313  0.4626  0.6058  3 Tb 3.55-3.56, 9 Pm 3.57-3.68
Pm  0.4626  0.8002  0.6058  3 Tb 3.55-3.56, 9 Pm 3.57-3.68
Pm  0.5374  0.1998  0.3942  3 Tb 3.55-3.56, 9 Pm 3.57-3.68
Pm  0.8002  0.1313  0.6058  3 Tb 3.55-3.56, 9 Pm 3.57-3.68
Pm  0.8687  0.5374  0.3942  3 Tb 3.55-3.56, 9 Pm 3.57-3.68
Tb  0.6021  0.9356  0.1932  2 Tm 3.46, 3 Pm 3.55-3.56, 6 Tb 3.59-3.60
Tb  0.0644  0.7309  0.8068  2 Tm 3.46, 3 Pm 3.55-3.56, 6 Tb 3.59-3.60
Tb  0.7309  0.3979  0.8068  2 Tm 3.46, 3 Pm 3.55-3.56, 6 Tb 3.59-3.60
Tb  0.2691  0.6021  0.1932  2 Tm 3.46, 3 Pm 3.55-3.56, 6 Tb 3.59-3.60
Tb  0.3979  0.0644  0.8068  2 Tm 3.46, 3 Pm 3.55-3.56, 6 Tb 3.59-3.60
Tb  0.9356  0.2691  0.1932  2 Tm 3.46, 3 Pm 3.55-3.56, 6 Tb 3.59-3.60
Tm  0.6667  0.6667  0.0000  6 Tb 3.46, 3 Tm 3.60
Tm  0.3333  0.3333  0.0000  6 Tb 3.46, 3 Tm 3.60

(2)
Compound: KFeNi2
Source: the Alexandria database
Functional: PBE-GGA
Structure: relaxed

Unit cell a=4.4636 b=4.4636 c=4.4636 alpha=60.00 beta=60.00 gamma=60.00
Last column: nearest neighbours and their distance in Å.
Atoms (fractional coordinates):
Ni  0.0000  0.0000  0.0000  4 K 2.73, 4 Ni 2.73
Ni  0.7500  0.7500  0.7500  4 Fe 2.73, 4 Ni 2.73
K  0.2500  0.2500  0.2500  4 Fe 2.73, 4 Ni 2.73
Fe  0.5000  0.5000  0.5000  4 Ni 2.73, 4 K 2.73

(3)
Compound: CdFeW2
Source: the Alexandria database
Functional: PBE-GGA
Structure: relaxed

Unit cell a=9.4969 b=9.4969 c=9.4969 alpha=16.90 beta=16.90 gamma=16.90
Last column: nearest neighbours and their distance in Å.
Atoms (fractional coordinates):
Fe  0.7500  0.7500  0.7500  6 W 2.62, 6 Fe 2.79
Cd  0.2500  0.2500  0.2500  6 Cd 2.79, 6 W 3.07
W  0.4904  0.4904  0.4904  3 Fe 2.62, 6 W 2.79
W  0.0096  0.0096  0.0096  3 Fe 2.62, 6 W 2.79

The following formation enthalpy at 0 K values (in meV per atom) correspond, in order, to the records above: 158, 1151, 491.
The following N(E_F) values (in states/eV/cell) correspond, in order, to the records above: 20.96, 5.27, 3.05.
The following theoretical density values (in Mg/m³) correspond, in order, to the records above: 7.452, 5.607, 14.092.